DFT (PBE-GGA) results for an optimized crystal structure of CsLa.

a = 13.9562 Å, b = 13.9562 Å, c = 3.7289 Å
α = 90.00°, β = 90.00°, γ = 120.00°
Closest atoms and distances in Å follow each position.
Space group P6_3/m (No. 176)
One atom of each set of equivalent atoms:
Cs 0.1080 0.3032 0.2500 x6  2 La 3.71-3.97, 6 Cs 3.73-4.16
La 0.1368 0.5825 0.2500 x6  2 Cs 3.71-3.97, 6 La 3.73-4.13

Energy, Ha/atom: -0.0842
Formation enthalpy at 0 K, eV per formula unit: 1.20
Total moment, μB/cell: 0.00

DFT (PBE-GGA) results for an optimized crystal structure of CaTaTc2.

a = 3.0070 Å, b = 3.0070 Å, c = 8.5730 Å
α = 90.00°, β = 90.00°, γ = 90.00°
Closest atoms and distances in Å follow each position.
Space group P4mm (No. 99)
One atom of each set of equivalent atoms:
Ca 0.0000 0.0000 0.0000 x1  4 Ca 3.01, 4 Tc 3.18
Ta 0.5000 0.5000 0.3370 x1  4 Tc 2.85, 4 Ta 3.01
Tc 0.0000 0.0000 0.5580 x1  4 Tc 2.56, 4 Ta 2.85
Tc 0.5000 0.5000 0.7238 x1  4 Tc 2.56

Energy, Ha/atom: -0.3049
Formation enthalpy at 0 K, eV per formula unit: 1.40
Total moment, μB/cell: 0.00

DFT (PBE-GGA) results for an optimized crystal structure of BaTl2Hg4.

a = 18.8084 Å, b = 7.4772 Å, c = 6.1532 Å
α = 90.00°, β = 90.00°, γ = 90.00°
Closest atoms and distances in Å follow each position.
Space group Cmcm (No. 63)
One atom of each set of equivalent atoms:
Ba 0.0000 0.2405 0.2500 x4  10 Hg 3.53-3.58
Tl 0.2109 0.3619 0.2500 x8  5 Hg 3.19-3.37
Hg 0.0884 0.3425 0.7500 x8  3 Hg 3.15-3.33, 1 Tl 3.19
Hg 0.1422 0.0000 0.0000 x8  4 Hg 3.08-3.15, 4 Tl 3.33-3.37

Energy, Ha/atom: -0.0499
Formation enthalpy at 0 K, eV per formula unit: -1.64
Total moment, μB/cell: 0.00

DFT (PBE-GGA) results for an optimized crystal structure of Ac6PmNd.

a = 5.5264 Å, b = 5.5264 Å, c = 11.0553 Å
α = 90.00°, β = 90.00°, γ = 90.00°
Closest atoms and distances in Å follow each position.
Space group P4/mmm (No. 123)
One atom of each set of equivalent atoms:
Ac 0.0000 0.0000 0.0000 x1  8 Ac 3.91, 4 Pm 3.91
Ac 0.0000 0.0000 0.5000 x1  4 Nd 3.91, 8 Ac 3.91
Ac 0.0000 0.5000 0.2496 x4  2 Pm 3.91, 8 Ac 3.91, 2 Nd 3.91
Pm 0.5000 0.5000 0.0000 x1  12 Ac 3.91
Nd 0.5000 0.5000 0.5000 x1  12 Ac 3.91

Energy, Ha/atom: -0.1561
Formation enthalpy at 0 K, eV per formula unit: 0.18
Total moment, μB/cell: 0.00

DFT (PBE-GGA) results for an optimized crystal structure of Mg2H6IrPt.

a = 4.9932 Å, b = 5.0317 Å, c = 5.0336 Å
α = 90.45°, β = 119.73°, γ = 119.24°
Closest atoms and distances in Å follow each position.
Space group P-1 (No. 2)
One atom of each set of equivalent atoms:
Mg 0.9996 0.2474 0.2493 x2  5 H 2.20-2.38
H 0.0131 0.7952 0.2292 x2  1 Ir 1.75, 1 Pt 1.85
H 0.4424 0.7608 0.7442 x2  1 Ir 1.75, 1 Pt 1.87
H 0.4843 0.7109 0.2847 x2  1 Ir 1.75, 1 Pt 1.83
Ir 0.5000 0.0000 0.5000 x1  6 H 1.75
Pt 0.5000 0.5000 0.0000 x1  6 H 1.83-1.87

Energy, Ha/atom: -0.1480
Total moment, μB/cell: 0.00

DFT (PBE-GGA) results for an optimized crystal structure of HoAl2S4.

a = 7.6303 Å, b = 7.6303 Å, c = 6.0544 Å
α = 90.00°, β = 90.00°, γ = 90.00°
Closest atoms and distances in Å follow each position.
Space group I4/m (No. 87)
One atom of each set of equivalent atoms:
Ho 0.0000 0.0000 0.0000 x2  4 S 2.76
Al 0.0000 0.5000 0.2500 x4  4 S 2.28
S 0.1466 0.6688 0.0000 x8  2 Al 2.28

Formation energy (no corrections), eV per atom: -1.09
Energy, Ha/atom: -0.1901
Total moment, μB/cell: 1.99

DFT (PBE-GGA) results for an optimized crystal structure of Sc2CrTc.

a = 5.8416 Å, b = 8.6341 Å, c = 2.9407 Å
α = 90.00°, β = 110.53°, γ = 90.00°
Closest atoms and distances in Å follow each position.
Space group C2/m (No. 12)
One atom of each set of equivalent atoms:
Sc 0.2500 0.2500 0.0000 x4  2 Cr 2.73, 2 Tc 2.73, 4 Sc 2.92-2.94
Cr 0.0000 0.0000 0.5000 x2  4 Sc 2.73, 2 Tc 2.92, 2 Cr 2.94
Tc 0.0000 0.5000 0.5000 x2  4 Sc 2.73, 2 Cr 2.92, 2 Tc 2.94

Energy, Ha/atom: -0.2925
Formation enthalpy at 0 K, eV per formula unit: 0.81
Total moment, μB/cell: 4.71

DFT (PBE-GGA) results for an optimized crystal structure of Sc2Tc.

a = 12.3837 Å, b = 12.3837 Å, c = 12.3837 Å
α = 90.00°, β = 90.00°, γ = 90.00°
Closest atoms and distances in Å follow each position.
Space group Fd-3m (No. 227, origin choice 2)
One atom of each set of equivalent atoms:
Sc 0.0000 0.0000 0.0000 x16  6 Tc 2.71
Sc 0.0723 0.3750 0.8750 x48  4 Tc 2.88-3.07, 2 Sc 3.10
Tc 0.0376 0.0376 0.2124 x32  6 Sc 2.71-2.88

Energy, Ha/atom: -0.2867
Formation enthalpy at 0 K, eV per formula unit: -0.37
Total moment, μB/cell: 0.00

DFT (PBE-GGA) results for an optimized crystal structure of ZrCr2Re.

a = 6.1941 Å, b = 6.1941 Å, c = 6.1941 Å
α = 90.00°, β = 90.00°, γ = 90.00°
Closest atoms and distances in Å follow each position.
Space group F-43m (No. 216)
One atom of each set of equivalent atoms:
Zr 0.0000 0.0000 0.0000 x4  4 Cr 2.68, 4 Re 2.68
Cr 0.0000 0.0000 0.5000 x4  4 Cr 2.68, 4 Re 2.68
Cr 0.2500 0.2500 0.7500 x4  4 Cr 2.68, 4 Zr 2.68
Re 0.2500 0.2500 0.2500 x4  4 Zr 2.68, 4 Cr 2.68

Energy, Ha/atom: -0.3654
Formation enthalpy at 0 K, eV per formula unit: 0.48
Total moment, μB/cell: 0.09

DFT (PBE-GGA) results for an optimized crystal structure of TaNb2Te4.

a = 15.0539 Å, b = 3.5965 Å, c = 6.8636 Å
α = 90.00°, β = 114.28°, γ = 90.00°
Closest atoms and distances in Å follow each position.
Space group C2/m (No. 12)
One atom of each set of equivalent atoms:
Ta 0.0000 0.0000 0.0000 x2  6 Te 2.77-2.84
Nb 0.2446 0.5000 0.6676 x4  6 Te 2.77-3.08, 2 Nb 2.98
Te 0.0980 0.0000 0.4419 x4  3 Nb 2.77, 1 Ta 2.77
Te 0.1395 0.5000 0.9691 x4  2 Ta 2.84, 3 Nb 2.99-3.08

Formation energy (no corrections), eV per atom: -0.33
Energy, Ha/atom: -0.2459
Total moment, μB/cell: 0.00

DFT (PBE-GGA) results for an optimized crystal structure of Pr2Be4Ge3Ir.

a = 4.0136 Å, b = 4.0136 Å, c = 10.0099 Å
α = 90.00°, β = 90.00°, γ = 90.00°
Closest atoms and distances in Å follow each position.
Space group P-4m2 (No. 115)
One atom of each set of equivalent atoms:
Pr 0.0000 0.5000 0.2476 x2  6 Ge 3.07-3.23, 8 Be 3.11-3.19, 2 Ir 3.23
Be 0.0000 0.0000 0.0000 x1  4 Ge 2.39
Be 0.0000 0.5000 0.6251 x2  3 Ge 2.37-2.45, 2 Ir 2.37
Be 0.5000 0.5000 0.0000 x1  4 Ge 2.39
Ge 0.0000 0.5000 0.8698 x2  5 Be 2.39-2.45
Ge 0.5000 0.5000 0.5000 x1  4 Be 2.37
Ir 0.0000 0.0000 0.5000 x1  4 Be 2.37

Energy, Ha/atom: -0.1902
Formation enthalpy at 0 K, eV per formula unit: -4.57
Total moment, μB/cell: 0.00

DFT (PBE-GGA) results for an optimized crystal structure of Hf2PF2.

a = 3.3579 Å, b = 3.3579 Å, c = 12.3446 Å
α = 90.00°, β = 90.00°, γ = 90.00°
Closest atoms and distances in Å follow each position.
Space group I4/mmm (No. 139)
One atom of each set of equivalent atoms:
Hf 0.0000 0.0000 0.1179 x4  4 F 2.34
P 0.0000 0.0000 0.5000 x2  8 Hf 2.78
F 0.0000 0.5000 0.2500 x4  4 Hf 2.34, 4 F 2.37

Formation energy (no corrections), eV per atom: -1.99
Energy, Ha/atom: -0.2867
Total moment, μB/cell: 0.00

DFT (PBE-GGA) results for an optimized crystal structure of Nd4PaP5.

a = 9.2125 Å, b = 9.2125 Å, c = 5.8224 Å
α = 90.00°, β = 90.00°, γ = 90.00°
Closest atoms and distances in Å follow each position.
Space group I4/m (No. 87)
One atom of each set of equivalent atoms:
Nd 0.0978 0.3018 0.0000 x8  6 P 2.90-3.01
Pa 0.0000 0.0000 0.5000 x2  6 P 2.79-2.91
P 0.0000 0.0000 0.0000 x2  2 Pa 2.91, 4 Nd 2.92
P 0.0954 0.2874 0.5000 x8  1 Pa 2.79, 5 Nd 2.90-3.01

Energy, Ha/atom: -0.2598
Formation enthalpy at 0 K, eV per formula unit: -15.09
Total moment, μB/cell: 0.00

DFT (PBE-GGA) results for an optimized crystal structure of LaIn2TePt.

a = 5.1558 Å, b = 5.1558 Å, c = 5.6970 Å
α = 90.00°, β = 90.00°, γ = 90.00°
Closest atoms and distances in Å follow each position.
Space group P4/mmm (No. 123)
One atom of each set of equivalent atoms:
La 0.0000 0.0000 0.0000 x1  2 Pt 2.85
In 0.0000 0.5000 0.5000 x2  2 Pt 2.58
Te 0.5000 0.5000 0.0000 x1  4 La 3.65, 8 In 3.84
Pt 0.0000 0.0000 0.5000 x1  4 In 2.58, 2 La 2.85

Formation energy (no corrections), eV per atom: -0.75
Energy, Ha/atom: -0.1714
Total moment, μB/cell: 0.00